<i>
Material: Ca2AlP
Method: DFT, PBE
State: optimized geometry

Unit cell a=3.4883 b=3.4883 c=8.2918 alpha=90.00 beta=90.00 gamma=90.00
Atoms (fractional coordinates):
Ca  0.0000  0.0000  0.0000
Ca  0.5000  0.5000  0.3901
Al  0.5000  0.5000  0.7437
P  0.0000  0.0000  0.6294

=====

<ii>
Material: Ca2AlP
Method: DFT, PBE
State: optimized geometry

Unit cell a=4.5428 b=3.9153 c=5.9180 alpha=90.00 beta=112.56 gamma=90.00
Atoms (fractional coordinates):
Ca  0.0000  0.0000  0.0000
Ca  0.2856  0.5000  0.5703
Al  0.5774  0.5000  0.1551
P  0.7209  0.0000  0.4398

=====

<iii>
Material: Ca2AlP
Method: DFT, PBE
State: optimized geometry

Unit cell a=6.2468 b=6.2468 c=4.7473 alpha=112.31 beta=112.31 gamma=34.23
Atoms (fractional coordinates):
Ca  0.0000  0.0000  0.0000
Ca  0.2164  0.2164  0.7161
Al  0.8040  0.8040  0.3033
P  0.4593  0.4593  0.4599

=====

Last place for stability: <i>

=====

<i>
Material: Ca2AlP
Method: DFT, PBE
State: optimized geometry

Unit cell a=5.1305 b=5.1305 c=5.1305 alpha=60.00 beta=60.00 gamma=60.00
Atoms (fractional coordinates):
Ca  0.2500  0.2500  0.2500
Ca  0.7500  0.7500  0.7500
Al  0.0000  0.0000  0.0000
P  0.5000  0.5000  0.5000

=====

<ii>
Material: Ca2AlP
Method: DFT, PBE
State: optimized geometry

Unit cell a=4.1645 b=4.1645 c=8.2159 alpha=104.35 beta=104.35 gamma=59.64
Atoms (fractional coordinates):
Ca  0.2281  0.2281  0.1860
Ca  0.7719  0.7719  0.8140
Al  0.0000  0.0000  0.5000
P  0.5000  0.5000  0.0000

=====

<iii>
Material: Ca2AlP
Method: DFT, PBE
State: optimized geometry

Unit cell a=6.6196 b=6.6196 c=6.6196 alpha=104.95 beta=104.95 gamma=118.96
Atoms (fractional coordinates):
Ca  0.0817  0.6250  0.9567
Ca  0.3750  0.3317  0.4567
Ca  0.6683  0.1250  0.0433
Ca  0.8750  0.9183  0.5433
Al  0.2500  0.7500  0.5000
Al  0.5000  0.5000  0.0000
P  0.0000  0.0000  0.0000
P  0.7500  0.2500  0.5000

=====

Last place for stability: <iii>

=====

<i>
Material: CaAlP3
Method: DFT, PBE
State: optimized geometry

Unit cell a=4.7160 b=4.7160 c=4.7160 alpha=90.00 beta=90.00 gamma=90.00
Atoms (fractional coordinates):
Ca  0.0000  0.0000  0.0000
Al  0.5000  0.5000  0.5000
P  0.0000  0.5000  0.5000
P  0.5000  0.0000  0.5000
P  0.5000  0.5000  0.0000

=====

<ii>
Material: CaAlP3
Method: DFT, PBE
State: optimized geometry

Unit cell a=5.1614 b=5.1614 c=5.1614 alpha=90.00 beta=90.00 gamma=90.00
Atoms (fractional coordinates):
Ca  0.0000  0.0000  0.0000
Al  0.5000  0.5000  0.5000
P  0.0000  0.0000  0.5000
P  0.0000  0.5000  0.0000
P  0.5000  0.0000  0.0000

=====

Last place for stability: <ii>

=====

<i>
Material: CaAlPS2
Method: DFT, PBE
State: optimized geometry

Unit cell a=4.7887 b=4.7887 c=4.5826 alpha=90.00 beta=90.00 gamma=90.00
Atoms (fractional coordinates):
Ca  0.0000  0.0000  0.0000
Al  0.5000  0.5000  0.5000
P  0.5000  0.5000  0.0000
S  0.0000  0.5000  0.5000
S  0.5000  0.0000  0.5000

=====

<ii>
Material: CaAlPS2
Method: DFT, PBE
State: optimized geometry

Unit cell a=5.2614 b=5.2614 c=5.4683 alpha=90.00 beta=90.00 gamma=90.00
Atoms (fractional coordinates):
Ca  0.0000  0.0000  0.0000
Al  0.5000  0.5000  0.5000
P  0.0000  0.0000  0.5000
S  0.0000  0.5000  0.0000
S  0.5000  0.0000  0.0000

=====

Last place for stability: <ii>

=====

<i>
Material: CaZrAlP2
Method: DFT, PBE
State: optimized geometry

Unit cell a=5.0212 b=5.0212 c=5.8790 alpha=90.00 beta=90.00 gamma=90.00
Atoms (fractional coordinates):
Ca  0.0000  0.0000  0.0000
Zr  0.0000  0.0000  0.5000
Al  0.5000  0.5000  0.0000
P  0.0000  0.5000  0.5000
P  0.5000  0.0000  0.5000

=====

<ii>
Material: CaZrAlP2
Method: DFT, PBE
State: optimized geometry

Unit cell a=5.0426 b=5.0426 c=5.1392 alpha=90.00 beta=90.00 gamma=90.00
Atoms (fractional coordinates):
Ca  0.0000  0.0000  0.0000
Zr  0.5000  0.5000  0.5000
Al  0.5000  0.5000  0.0000
P  0.0000  0.5000  0.5000
P  0.5000  0.0000  0.5000

=====

Last place for stability: <i>

=====

<i>
Material: Ca2AlPb
Method: DFT, PBE
State: optimized geometry

Unit cell a=5.4997 b=5.4997 c=5.4997 alpha=60.00 beta=60.00 gamma=60.00
Atoms (fractional coordinates):
Ca  0.0000  0.0000  0.0000
Ca  0.2500  0.2500  0.2500
Al  0.5000  0.5000  0.5000
Pb  0.7500  0.7500  0.7500

=====

<ii>
Material: Ca2AlPb
Method: DFT, PBE
State: optimized geometry

Unit cell a=3.4297 b=4.5334 c=7.0717 alpha=90.00 beta=90.00 gamma=90.00
Atoms (fractional coordinates):
Ca  0.0000  0.0000  0.2416
Ca  0.0000  0.0000  0.7584
Al  0.5000  0.5000  0.0000
Pb  0.5000  0.5000  0.5000

=====

Last place for stability: <i>

=====

<i>
Material: Ca2AlPb
Method: DFT, PBE
State: optimized geometry

Unit cell a=3.7968 b=3.7968 c=8.5890 alpha=90.00 beta=90.00 gamma=90.00
Atoms (fractional coordinates):
Ca  0.0000  0.0000  0.0000
Ca  0.5000  0.5000  0.3506
Al  0.5000  0.5000  0.7665
Pb  0.0000  0.0000  0.6024

=====

<ii>
Material: Ca2AlPb
Method: DFT, PBE
State: optimized geometry

Unit cell a=6.5171 b=6.5171 c=6.5171 alpha=144.87 beta=132.99 gamma=60.02
Atoms (fractional coordinates):
Ca  0.0000  0.0000  0.0000
Ca  0.7220  0.2220  0.5000
Al  0.4691  0.4691  0.0000
Pb  0.2749  0.7749  0.5000

=====

Last place for stability: <i>

=====

<i>
Material: Ca2AlPb
Method: DFT, PBE
State: optimized geometry

Unit cell a=5.4203 b=5.4203 c=5.4203 alpha=60.00 beta=60.00 gamma=60.00
Atoms (fractional coordinates):
Ca  0.2500  0.2500  0.2500
Ca  0.7500  0.7500  0.7500
Al  0.0000  0.0000  0.0000
Pb  0.5000  0.5000  0.5000

=====

<ii>
Material: Ca2AlPb
Method: DFT, PBE
State: optimized geometry

Unit cell a=3.8941 b=4.4624 c=6.9480 alpha=90.00 beta=90.00 gamma=90.00
Atoms (fractional coordinates):
Ca  0.0000  0.0000  0.0000
Ca  0.5000  0.5000  0.3184
Al  0.5000  0.5000  0.7815
Pb  0.0000  0.0000  0.5505

=====

Last place for stability: <ii>